# PaAg3I2F6, relaxed, DFT PBE
# N(E_F) = 0.0 states/eV/cell
# Total moment = 0.00 μB per cell
# Formation energy from raw total energies = -2159 meV per atom
# Theoretical density = 5.17 g cm⁻³
data_PaAg3I2F6
_chemical_formula_sum 'Pa2 Ag6 I4 F12'
_cell_length_a 14.953
_cell_length_b 7.727
_cell_length_c 5.178
_cell_angle_alpha 90.00
_cell_angle_beta 97.57
_cell_angle_gamma 90.00
_space_group_name_H-M_alt 'C 1 2/m 1'
_space_group_IT_number 12
loop_
_space_group_symop_operation_xyz
'x,y,z'
'-x,-y,-z'
'-x,y,-z'
'x,-y,z'
'x+1/2,y+1/2,z'
'-x+1/2,-y+1/2,-z'
'-x+1/2,y+1/2,-z'
'x+1/2,-y+1/2,z'
loop_
_atom_site_label
_atom_site_type_symbol
_atom_site_fract_x
_atom_site_fract_y
_atom_site_fract_z
Pa1 Pa 0.000 0.000 0.000
Ag1 Ag 0.000 0.500 0.500
Ag2 Ag 0.250 0.250 0.000
I1 I 0.184 0.500 0.660
F1 F 0.059 0.198 0.248
F2 F 0.118 0.000 0.811

# Ag2Pb2I2F5, relaxed, DFT PBE
# N(E_F) = 7.8 states/eV/cell
# Total moment = 0.00 μB per cell
# Formation energy from raw total energies = -1274 meV per atom
# Theoretical density = 5.86 g cm⁻³
data_Ag2Pb2I2F5
_chemical_formula_sum 'Ag4 Pb4 I4 F10'
_cell_length_a 4.685
_cell_length_b 4.685
_cell_length_c 25.297
_cell_angle_alpha 90.00
_cell_angle_beta 90.00
_cell_angle_gamma 90.00
_space_group_name_H-M_alt 'I 4/m m m'
_space_group_IT_number 139
_space_group_name_Hall '-I 4 2'
loop_
_atom_site_label
_atom_site_type_symbol
_atom_site_fract_x
_atom_site_fract_y
_atom_site_fract_z
Ag1 Ag 0.000 0.000 0.084
Pb1 Pb 0.000 0.000 0.355
I1 I 0.000 0.000 0.201
F1 F 0.000 0.000 0.000
F2 F 0.000 0.500 0.103

# AgPdIF2, relaxed, DFT PBE
# N(E_F) = 1.6 states/eV/cell
# Total moment = 0.00 μB per cell
# Formation energy from raw total energies = -741 meV per atom
# Theoretical density = 6.25 g cm⁻³
data_AgPdIF2
_chemical_formula_sum 'Ag1 Pd1 I1 F2'
_cell_length_a 4.222
_cell_length_b 4.222
_cell_length_c 5.653
_cell_angle_alpha 90.00
_cell_angle_beta 90.00
_cell_angle_gamma 90.00
_space_group_name_H-M_alt 'P 4/m m m'
_space_group_IT_number 123
_space_group_name_Hall '-P 4 2'
loop_
_atom_site_label
_atom_site_type_symbol
_atom_site_fract_x
_atom_site_fract_y
_atom_site_fract_z
Ag1 Ag 0.000 0.000 0.000
Pd1 Pd 0.500 0.500 0.500
I1 I 0.500 0.500 0.000
F1 F 0.000 0.500 0.500

# PuAg3I2F6, relaxed, DFT PBE
# N(E_F) = 26.5 states/eV/cell
# Total moment = 6.01 μB per cell
# Formation energy from raw total energies = -1846 meV per atom
# Theoretical density = 5.48 g cm⁻³
data_PuAg3I2F6
_chemical_formula_sum 'Pu2 Ag6 I4 F12'
_cell_length_a 14.918
_cell_length_b 7.420
_cell_length_c 5.150
_cell_angle_alpha 90.00
_cell_angle_beta 95.81
_cell_angle_gamma 90.00
_space_group_name_H-M_alt 'C 1 2/m 1'
_space_group_IT_number 12
loop_
_space_group_symop_operation_xyz
'x,y,z'
'-x,-y,-z'
'-x,y,-z'
'x,-y,z'
'x+1/2,y+1/2,z'
'-x+1/2,-y+1/2,-z'
'-x+1/2,y+1/2,-z'
'x+1/2,-y+1/2,z'
loop_
_atom_site_label
_atom_site_type_symbol
_atom_site_fract_x
_atom_site_fract_y
_atom_site_fract_z
Pu1 Pu 0.000 0.000 0.000
Ag1 Ag 0.000 0.500 0.500
Ag2 Ag 0.250 0.250 0.000
I1 I 0.185 0.500 0.644
F1 F 0.052 0.203 0.250
F2 F 0.122 0.000 0.831

# Rb2AgIF2, relaxed, DFT PBE
# Total moment = 0.00 μB per cell
# Formation energy from raw total energies = -1727 meV per atom
# Theoretical density = 4.38 g cm⁻³
data_Rb2AgIF2
_chemical_formula_sum 'Rb2 Ag1 I1 F2'
_cell_length_a 4.719
_cell_length_b 4.719
_cell_length_c 7.550
_cell_angle_alpha 90.00
_cell_angle_beta 90.00
_cell_angle_gamma 90.00
_space_group_name_H-M_alt 'P 4/m m m'
_space_group_IT_number 123
_space_group_name_Hall '-P 4 2'
loop_
_atom_site_label
_atom_site_type_symbol
_atom_site_fract_x
_atom_site_fract_y
_atom_site_fract_z
Rb1 Rb 0.000 0.000 0.234
Ag1 Ag 0.500 0.500 0.000
I1 I 0.500 0.500 0.500
F1 F 0.000 0.500 0.000

# Rb3Ag2I2F4, relaxed, DFT PBE
# N(E_F) = 26.1 states/eV/cell
# Total moment = 0.00 μB per cell
# Formation energy from raw total energies = -1579 meV per atom
# Theoretical density = 4.62 g cm⁻³
data_Rb3Ag2I2F4
_chemical_formula_sum 'Rb6 Ag4 I4 F8'
_cell_length_a 4.702
_cell_length_b 4.702
_cell_length_c 26.104
_cell_angle_alpha 90.00
_cell_angle_beta 90.00
_cell_angle_gamma 90.00
_space_group_name_H-M_alt 'I 4/m m m'
_space_group_IT_number 139
_space_group_name_Hall '-I 4 2'
loop_
_atom_site_label
_atom_site_type_symbol
_atom_site_fract_x
_atom_site_fract_y
_atom_site_fract_z
Rb1 Rb 0.000 0.000 0.000
Rb2 Rb 0.000 0.000 0.143
Ag1 Ag 0.000 0.000 0.413
I1 I 0.000 0.000 0.302
F1 F 0.000 0.500 0.072

# Rb2AgIF6, relaxed, DFT PBE
# N(E_F) = 11.9 states/eV/cell
# Total moment = 0.00 μB per cell
# Formation energy from raw total energies = -1764 meV per atom
# Theoretical density = 3.96 g cm⁻³
data_Rb2AgIF6
_chemical_formula_sum 'Rb4 Ag2 I2 F12'
_cell_length_a 6.859
_cell_length_b 6.859
_cell_length_c 9.270
_cell_angle_alpha 90.00
_cell_angle_beta 90.00
_cell_angle_gamma 90.00
_space_group_name_H-M_alt 'I 4/m m m'
_space_group_IT_number 139
_space_group_name_Hall '-I 4 2'
loop_
_atom_site_label
_atom_site_type_symbol
_atom_site_fract_x
_atom_site_fract_y
_atom_site_fract_z
Rb1 Rb 0.000 0.500 0.250
Ag1 Ag 0.000 0.000 0.000
I1 I 0.000 0.000 0.500
F1 F 0.000 0.000 0.276
F2 F 0.213 0.213 0.000

# Ag3RuI2F6, relaxed, DFT PBE
# N(E_F) = 1.6 states/eV/cell
# Total moment = 6.03 μB per cell
# Formation energy from raw total energies = -1168 meV per atom
# Theoretical density = 5.02 g cm⁻³
data_Ag3RuI2F6
_chemical_formula_sum 'Ag6 Ru2 I4 F12'
_cell_length_a 14.017
_cell_length_b 7.277
_cell_length_c 5.159
_cell_angle_alpha 90.00
_cell_angle_beta 94.43
_cell_angle_gamma 90.00
_space_group_name_H-M_alt 'C 1 2/m 1'
_space_group_IT_number 12
loop_
_space_group_symop_operation_xyz
'x,y,z'
'-x,-y,-z'
'-x,y,-z'
'x,-y,z'
'x+1/2,y+1/2,z'
'-x+1/2,-y+1/2,-z'
'-x+1/2,y+1/2,-z'
'x+1/2,-y+1/2,z'
loop_
_atom_site_label
_atom_site_type_symbol
_atom_site_fract_x
_atom_site_fract_y
_atom_site_fract_z
Ag1 Ag 0.000 0.000 0.000
Ag2 Ag 0.250 0.250 0.500
Ru1 Ru 0.000 0.500 0.500
I1 I 0.192 0.000 0.131
F1 F 0.060 0.312 0.715
F2 F 0.111 0.500 0.305

# AgSb2IF, relaxed, DFT PBE
# N(E_F) = 2.5 states/eV/cell
# Total moment = 0.00 μB per cell
# Formation energy from raw total energies = 29 meV per atom
# Excess energy over the best structure of this formula in the dataset = 0.000 eV/atom
# Theoretical density = 6.06 g cm⁻³
data_AgSb2IF
_chemical_formula_sum 'Ag1 Sb2 I1 F1'
_cell_length_a 4.693
_cell_length_b 4.693
_cell_length_c 6.187
_cell_angle_alpha 90.00
_cell_angle_beta 90.00
_cell_angle_gamma 90.00
_space_group_name_H-M_alt 'P 4/m m m'
_space_group_IT_number 123
_space_group_name_Hall '-P 4 2'
loop_
_atom_site_label
_atom_site_type_symbol
_atom_site_fract_x
_atom_site_fract_y
_atom_site_fract_z
Ag1 Ag 0.000 0.000 0.000
Sb1 Sb 0.000 0.500 0.500
I1 I 0.500 0.500 0.000
F1 F 0.500 0.500 0.500

# AgSb2IF, relaxed, DFT PBE
# N(E_F) = 3.2 states/eV/cell
# Total moment = 0.00 μB per cell
# Formation energy from raw total energies = 329 meV per atom
# Excess energy over the best structure of this formula in the dataset = 0.299 eV/atom
# Theoretical density = 5.14 g cm⁻³
data_AgSb2IF
_chemical_formula_sum 'Ag1 Sb2 I1 F1'
_cell_length_a 5.349
_cell_length_b 5.349
_cell_length_c 5.619
_cell_angle_alpha 90.00
_cell_angle_beta 90.00
_cell_angle_gamma 90.00
_space_group_name_H-M_alt 'P 4/m m m'
_space_group_IT_number 123
_space_group_name_Hall '-P 4 2'
loop_
_atom_site_label
_atom_site_type_symbol
_atom_site_fract_x
_atom_site_fract_y
_atom_site_fract_z
Ag1 Ag 0.000 0.000 0.000
Sb1 Sb 0.000 0.500 0.000
I1 I 0.000 0.000 0.500
F1 F 0.500 0.500 0.500

# Ag3SbI2F6, relaxed, DFT PBE
# N(E_F) = 0.0 states/eV/cell
# Total moment = 0.00 μB per cell
# Formation energy from raw total energies = -1465 meV per atom
# Theoretical density = 4.88 g cm⁻³
data_Ag3SbI2F6
_chemical_formula_sum 'Ag6 Sb2 I4 F12'
_cell_length_a 14.506
_cell_length_b 7.473
_cell_length_c 5.147
_cell_angle_alpha 90.00
_cell_angle_beta 97.63
_cell_angle_gamma 90.00
_space_group_name_H-M_alt 'C 1 2/m 1'
_space_group_IT_number 12
loop_
_space_group_symop_operation_xyz
'x,y,z'
'-x,-y,-z'
'-x,y,-z'
'x,-y,z'
'x+1/2,y+1/2,z'
'-x+1/2,-y+1/2,-z'
'-x+1/2,y+1/2,-z'
'x+1/2,-y+1/2,z'
loop_
_atom_site_label
_atom_site_type_symbol
_atom_site_fract_x
_atom_site_fract_y
_atom_site_fract_z
Ag1 Ag 0.000 0.000 0.000
Ag2 Ag 0.250 0.250 0.500
Sb1 Sb 0.000 0.500 0.500
I1 I 0.188 0.000 0.136
F1 F 0.060 0.316 0.724
F2 F 0.105 0.500 0.306

# SiAg3I2F6, relaxed, DFT PBE
# N(E_F) = 12.3 states/eV/cell
# Total moment = 0.00 μB per cell
# Formation energy from raw total energies = -1688 meV per atom
# Theoretical density = 5.14 g cm⁻³
data_SiAg3I2F6
_chemical_formula_sum 'Si2 Ag6 I4 F12'
_cell_length_a 12.665
_cell_length_b 6.424
_cell_length_c 5.713
_cell_angle_alpha 90.00
_cell_angle_beta 90.31
_cell_angle_gamma 90.00
_space_group_name_H-M_alt 'C 1 2/m 1'
_space_group_IT_number 12
loop_
_space_group_symop_operation_xyz
'x,y,z'
'-x,-y,-z'
'-x,y,-z'
'x,-y,z'
'x+1/2,y+1/2,z'
'-x+1/2,-y+1/2,-z'
'-x+1/2,y+1/2,-z'
'x+1/2,-y+1/2,z'
loop_
_atom_site_label
_atom_site_type_symbol
_atom_site_fract_x
_atom_site_fract_y
_atom_site_fract_z
Si1 Si 0.000 0.000 0.000
Ag1 Ag 0.000 0.500 0.500
Ag2 Ag 0.250 0.250 0.000
I1 I 0.208 0.500 0.613
F1 F 0.060 0.191 0.166
F2 F 0.107 0.000 0.815